ZrFeB4 | GGA-PBE | relaxed

Unit cell a=3.267 b=5.778 c=11.206 alpha=90.00 beta=90.00 gamma=90.00
Fractional coordinates of all 24 atoms:
Zr  0.000  0.628  0.350
Zr  0.000  0.372  0.650
Zr  0.000  0.128  0.150
Zr  0.000  0.872  0.850
Fe  0.000  0.633  0.090
Fe  0.000  0.367  0.910
Fe  0.000  0.133  0.410
Fe  0.000  0.867  0.590
B  0.500  0.787  0.186
B  0.500  0.213  0.814
B  0.500  0.287  0.314
B  0.500  0.713  0.686
B  0.500  0.865  0.032
B  0.500  0.135  0.968
B  0.500  0.365  0.468
B  0.500  0.635  0.532
B  0.500  0.887  0.453
B  0.500  0.113  0.547
B  0.500  0.387  0.047
B  0.500  0.613  0.953
B  0.500  0.974  0.307
B  0.500  0.026  0.693
B  0.500  0.474  0.193
B  0.500  0.526  0.807

***

ZrFe4B4 | GGA-PBE | relaxed

Unit cell a=4.972 b=4.972 c=6.834 alpha=90.00 beta=90.00 gamma=90.00
Fractional coordinates of all 18 atoms:
Zr  0.000  0.000  0.000
Zr  0.500  0.500  0.500
Fe  0.257  0.500  0.866
Fe  0.743  0.500  0.866
Fe  0.500  0.743  0.134
Fe  0.500  0.257  0.134
Fe  0.000  0.757  0.366
Fe  0.000  0.243  0.366
Fe  0.243  0.000  0.634
Fe  0.757  0.000  0.634
B  0.500  0.825  0.841
B  0.500  0.175  0.841
B  0.825  0.500  0.159
B  0.175  0.500  0.159
B  0.325  0.000  0.341
B  0.675  0.000  0.341
B  0.000  0.325  0.659
B  0.000  0.675  0.659

***

Zr3FeB7 | GGA-PBE | relaxed

Unit cell a=3.278 b=7.636 c=9.031 alpha=90.00 beta=90.00 gamma=102.39
Fractional coordinates of all 22 atoms:
Zr  0.106  0.212  0.445
Zr  0.894  0.788  0.555
Zr  0.246  0.492  0.750
Zr  0.754  0.508  0.250
Zr  0.106  0.212  0.055
Zr  0.894  0.788  0.945
Fe  0.950  0.900  0.250
Fe  0.050  0.100  0.750
B  0.446  0.892  0.750
B  0.554  0.108  0.250
B  0.483  0.965  0.405
B  0.517  0.035  0.595
B  0.517  0.035  0.905
B  0.483  0.965  0.095
B  0.369  0.737  0.348
B  0.631  0.263  0.652
B  0.273  0.547  0.467
B  0.727  0.453  0.533
B  0.727  0.453  0.967
B  0.273  0.547  0.033
B  0.369  0.737  0.152
B  0.631  0.263  0.848

***

ZrFeB3 | GGA-PBE | relaxed

Unit cell a=4.248 b=4.248 c=4.248 alpha=90.00 beta=90.00 gamma=90.00
Site moments in Bohr magnetons follow the coordinates.
Fractional coordinates of all 5 atoms:
B  0.000  0.500  0.000  -0.01
B  0.000  0.000  0.500  -0.01
B  0.500  0.000  0.000  -0.03
Fe  0.500  0.500  0.500  0.12
Zr  0.000  0.000  0.000  0.01

***

GaB | GGA-PBE | relaxed

Unit cell a=4.938 b=4.938 c=4.938 alpha=90.00 beta=90.00 gamma=90.00
Fractional coordinates of all 8 atoms:
Ga  0.000  0.000  0.000
Ga  0.000  0.500  0.500
Ga  0.500  0.000  0.500
Ga  0.500  0.500  0.000
B  0.250  0.250  0.250
B  0.250  0.750  0.750
B  0.750  0.250  0.750
B  0.750  0.750  0.250

Output
**Energy relative to the lowest polymorph listed for this composition**: 0.674 eV/atom

***

GaB | GGA-PBE | relaxed

Unit cell a=3.707 b=3.707 c=4.743 alpha=90.00 beta=90.00 gamma=120.00
Fractional coordinates of all 4 atoms:
Ga  0.333  0.667  0.750
Ga  0.667  0.333  0.250
B  0.333  0.667  0.250
B  0.667  0.333  0.750

Output
**Energy relative to the lowest polymorph listed for this composition**: 0.548 eV/atom

***

Sequential energy of formation output: -666, -486, -827, 2281, 933, 808 meV per atom